one) # HgSeN2F

An optimized crystal structure of HgSeN2F (GGA-PBE, Alexandria via LeMat-Bulk).

Theoretical density   6.32 g/cm³
V   85.8 Å³ per cell
Crystal system   tetragonal
Size of the total moment   1.96 μB per cell

Cell: 4.3746 4.3746 4.4833 Å, 90.00 90.00 90.00°
Last column: nearest neighbours and their distance in Å.
Space group P4/mmm (No. 123)
Symmetry-distinct sites (fractional):
Hg (0.0000, 0.0000, 0.0000) x1  4 N 2.19, 2 F 2.24
Se (0.5000, 0.5000, 0.5000) x1  4 F 3.09, 8 N 3.13
N (0.0000, 0.5000, 0.0000) x2  2 Hg 2.19
F (0.0000, 0.0000, 0.5000) x1  2 Hg 2.24

two) # HgSeN2F

An optimized crystal structure of HgSeN2F (GGA-PBE, Alexandria via LeMat-Bulk).

Theoretical density   4.98 g/cm³
V   108.9 Å³ per cell
Crystal system   tetragonal
Size of the total moment   6.27 μB per cell

Cell: 4.3117 4.3117 5.8573 Å, 90.00 90.00 90.00°
Last column: nearest neighbours and their distance in Å.
Space group P4/mmm (No. 123)
Symmetry-distinct sites (fractional):
Hg (0.0000, 0.0000, 0.0000) x1  4 N 2.16
Se (0.0000, 0.0000, 0.5000) x1  2 Hg 2.93, 4 F 3.05
N (0.0000, 0.5000, 0.0000) x2  2 Hg 2.16
F (0.5000, 0.5000, 0.5000) x1  4 Se 3.05

Of them, one) has the highest stability.